Record 1
Compound: AcTc4As12
Source: Alexandria
Functional: PBE-GGA
Structure: optimized geometry

* total energy: -106.12 eV/cell
* ΔH_f (0 K): -0.28 eV/atom
* total magnetization: 2.212 μB/f.u.

Unit cell a=7.5687 b=7.5687 c=7.5687 alpha=109.47 beta=109.47 gamma=109.47
Positions (direct):
Ac 0.0000 0.0000 0.0000
Tc 0.0000 0.0000 0.5000
Tc 0.0000 0.5000 0.0000
Tc 0.5000 0.0000 0.0000
Tc 0.5000 0.5000 0.5000
As 0.1528 0.3499 0.5027
As 0.1528 0.6501 0.8029
As 0.1971 0.8472 0.3499
As 0.3499 0.1971 0.8472
As 0.3499 0.5027 0.1528
As 0.4973 0.8472 0.6501
As 0.5027 0.1528 0.3499
As 0.6501 0.4973 0.8472
As 0.6501 0.8029 0.1528
As 0.8029 0.1528 0.6501
As 0.8472 0.3499 0.1971
As 0.8472 0.6501 0.4973

---

Record 2
Compound: AcTcAs3
Source: Alexandria
Functional: PBE-GGA
Structure: optimized geometry

* total energy: -29.83 eV/cell
* ΔH_f (0 K): -0.28 eV/atom
* total magnetization: 0.000 μB/f.u.

Unit cell a=4.9177 b=4.9177 c=4.9177 alpha=90.00 beta=90.00 gamma=90.00
Positions (direct):
Ac 0.0000 0.0000 0.0000
Tc 0.5000 0.5000 0.5000
As 0.0000 0.5000 0.5000
As 0.5000 0.0000 0.5000
As 0.5000 0.5000 0.0000